Record 1
DFT (PBE) results for crystalline Ac2LaNdS4 at its relaxed geometry.

```
Ac2LaNdS4
1.0
-2.558 1.643 -2.876
-5.747 -2.764 3.532
1.419 6.712 2.573
S Ac Nd La
4 2 1 1
Direct
0.000 0.743 0.236
0.500 0.248 0.238
0.000 0.257 0.764
0.500 0.752 0.762
0.000 0.500 0.500
0.500 0.000 0.500
0.500 0.500 0.000
0.000 0.000 0.000
```

Output
VASP energy: -50.801 eV per cell
Fermi-level density of states: 4.97 states/eV/f.u.

***

Record 2
DFT (PBE) results for crystalline VNi2Rh2 at its relaxed geometry.

```
VNi2Rh2
1.0
-4.498 -0.832 5.202
-3.665 -4.420 -3.875
1.496 -2.083 0.961
Ni V Rh
4 2 4
Direct
0.876 0.624 0.000
0.124 0.376 0.000
0.624 0.124 0.000
0.376 0.876 0.000
0.500 0.500 0.000
0.000 0.000 0.000
0.826 0.326 0.500
0.674 0.826 0.500
0.326 0.174 0.500
0.174 0.674 0.500
```

Output
calculated formation energy: 0.07 eV/atom
offset from the most stable computed form: 0.242 eV per atom
Fermi-level density of states: 8.28 states/eV/f.u.

***

Record 3
DFT (PBE) results for crystalline Tl2TcRu at its relaxed geometry.

```
Tl2TcRu
1.0
-2.494 4.053 0.057
-2.794 2.717 -2.732
-4.919 -1.848 1.415
Tl Tc Ru
2 1 1
Direct
0.001 0.001 0.998
0.499 0.499 0.502
0.250 0.250 0.250
0.750 0.750 0.750
```

Output
calculated formation energy: 0.77 eV/atom
offset from the most stable computed form: 0.382 eV per atom
Fermi-level density of states: 4.31 states/eV/f.u.

***

Record 4
DFT (PBE) results for crystalline TlOs3Se at its relaxed geometry.

```
TlOs3Se
1.0
-3.327 3.689 0.741
-2.283 -2.765 3.517
2.992 1.993 3.508
Tl Os Se
1 3 1
Direct
0.000 0.000 0.000
0.000 0.500 0.000
0.500 0.000 0.000
0.000 0.000 0.500
0.500 0.500 0.500
```

Output
offset from the most stable computed form: 1.529 eV per atom
Fermi-level density of states: 6.36 states/eV/f.u.

***

Record 5
DFT (PBE) results for crystalline PmEr4Se6 at its relaxed geometry.

```
PmEr4Se6
1.0
3.998 0.000 0.000
-1.999 6.643 0.000
0.000 0.000 20.664
Er Pm Se
8 2 12
Direct
0.591 0.181 0.626
0.860 0.720 0.538
0.140 0.280 0.038
0.860 0.720 0.962
0.591 0.181 0.874
0.409 0.819 0.126
0.409 0.819 0.374
0.140 0.280 0.462
0.347 0.694 0.750
0.653 0.306 0.250
0.232 0.464 0.910
0.500 0.000 0.500
0.684 0.367 0.750
0.232 0.464 0.590
0.768 0.536 0.090
0.500 0.000 0.000
0.049 0.099 0.336
0.316 0.633 0.250
0.049 0.099 0.164
0.951 0.901 0.664
0.768 0.536 0.410
0.951 0.901 0.836
```

Output
VASP energy: -127.575 eV per cell
Fermi-level density of states: 2.89 states/eV/f.u.

***

Record 6
DFT (PBE) results for crystalline PmSi3Pt6 at its relaxed geometry.

```
PmSi3Pt6
1.0
-2.572 3.681 -4.412
1.838 -5.843 -1.455
-3.734 -2.347 4.710
Si Pt Pm
3 6 1
Direct
0.373 0.686 0.059
0.276 0.138 0.414
0.622 0.311 0.933
0.836 0.465 0.704
0.333 0.868 0.704
0.238 0.370 0.704
0.111 0.695 0.224
0.529 0.416 0.224
0.808 0.113 0.224
0.875 0.937 0.812
```

Output
VASP energy: -64.971 eV per cell
Fermi-level density of states: 3.70 states/eV/f.u.

***

Record 7
DFT (PBE) results for crystalline KTe2Cl at its relaxed geometry.

```
KTe2Cl
1.0
-4.884 -4.039 4.295
2.246 -0.294 2.278
-1.872 4.897 2.477
Te Cl K
2 1 1
Direct
0.000 0.251 0.495
0.000 0.249 0.005
0.500 0.250 0.250
0.500 0.750 0.750
```

Output
offset from the most stable computed form: 0.277 eV per atom
Fermi-level density of states: 1.97 states/eV/f.u.

***

Record 8
DFT (PBE) results for crystalline TaZnAsOs2 at its relaxed geometry.

```
TaZnAsOs2
1.0
4.484 0.000 0.000
0.000 4.566 0.000
0.000 0.000 4.484
Os Ta Zn As
2 1 1 1
Direct
0.500 0.000 0.000
0.000 0.000 0.500
0.500 0.500 0.500
0.000 0.500 0.000
0.000 0.000 0.000
```

Output
calculated formation energy: 1.36 eV/atom
Fermi-level density of states: 2.90 states/eV/f.u.

***

Record 9
DFT (PBE) results for crystalline AcGdIn at its relaxed geometry.

```
AcGdIn
1.0
-1.506 2.187 -2.934
-5.049 -0.966 1.872
2.800 4.342 1.800
Gd In Ac
1 1 1
Direct
0.870 0.000 0.000
0.788 0.667 0.333
0.342 0.333 0.667
```

Output
calculated formation energy: -0.21 eV/atom
offset from the most stable computed form: 0.052 eV per atom
Fermi-level density of states: 4.10 states/eV/f.u.

***

Record 10
DFT (PBE) results for crystalline CaScTl at its relaxed geometry.

```
CaScTl
1.0
3.446 -0.001 -0.001
-0.001 8.571 -0.009
1.730 1.925 5.648
Ca Sc Tl
2 2 2
Direct
0.931 0.863 0.942
0.619 0.619 0.562
0.639 0.221 0.525
0.911 0.261 0.979
0.326 0.506 0.151
0.224 0.976 0.353
```

Output
calculated formation energy: -0.20 eV/atom
offset from the most stable computed form: 0.091 eV per atom
Fermi-level density of states: 3.22 states/eV/f.u.

***

Record 11
DFT (PBE) results for crystalline ReMoRu3 at its relaxed geometry.

```
ReMoRu3
1.0
4.576 0.000 0.000
0.000 4.576 0.000
0.000 0.000 4.576
Ru Re Mo
3 1 1
Direct
0.500 0.000 0.000
0.000 0.000 0.500
0.000 0.500 0.000
0.500 0.500 0.500
0.000 0.000 0.000
```

Output
calculated formation energy: 2.07 eV/atom
offset from the most stable computed form: 2.109 eV per atom
Fermi-level density of states: 7.42 states/eV/f.u.

***

Record 12
DFT (PBE) results for crystalline NaAgGePb at its relaxed geometry.

```
NaAgGePb
1.0
5.031 0.000 0.000
2.516 4.357 0.000
2.516 1.452 4.108
Na Ge Pb Ag
1 1 1 1
Direct
0.000 0.000 0.000
0.250 0.250 0.250
0.750 0.750 0.750
0.500 0.500 0.500
```

Output
calculated formation energy: 0.08 eV/atom
Fermi-level density of states: 2.59 states/eV/f.u.

***

Record 13
DFT (PBE) results for crystalline Ba3ZnHg10 at its relaxed geometry.

```
Ba3ZnHg10
1.0
6.538 0.000 0.000
0.000 7.207 0.000
0.000 0.000 17.457
Hg Ba Zn
20 6 2
Direct
0.363 0.500 0.290
0.363 0.500 0.710
0.514 0.500 0.000
0.679 0.000 0.802
0.327 0.273 0.858
0.327 0.727 0.142
0.659 0.789 0.354
0.679 0.000 0.198
0.984 0.500 0.377
0.016 0.713 0.000
0.016 0.287 0.000
0.327 0.273 0.142
0.972 0.795 0.500
0.984 0.500 0.623
0.659 0.789 0.646
0.659 0.211 0.646
0.327 0.727 0.858
0.460 0.000 0.500
0.659 0.211 0.354
0.972 0.205 0.500
0.174 0.000 0.684
0.822 0.500 0.177
0.174 0.000 0.316
0.822 0.500 0.823
0.565 0.000 0.000
0.437 0.500 0.500
0.028 0.000 0.112
0.028 0.000 0.888
```

Output
calculated formation energy: -0.36 eV/atom
Fermi-level density of states: 9.00 states/eV/f.u.

***

Record 14
DFT (PBE) results for crystalline CaNd2Dy6 at its relaxed geometry.

```
CaNd2Dy6
1.0
6.144 -2.080 3.227
-0.005 11.732 -4.655
1.498 -4.371 10.587
Nd Dy Ca
4 12 2
Direct
0.925 0.334 0.829
0.544 0.483 0.319
0.456 0.517 0.681
0.075 0.666 0.171
0.043 0.484 0.319
0.757 0.997 0.488
0.216 0.812 0.640
0.957 0.516 0.681
0.279 0.185 0.356
0.581 0.665 0.170
0.243 0.003 0.512
0.419 0.335 0.830
0.113 0.850 0.021
0.887 0.150 0.979
0.721 0.815 0.644
0.784 0.188 0.360
0.623 0.855 0.020
0.377 0.145 0.980
```

Output
calculated formation energy: 0.04 eV/atom
Fermi-level density of states: 12.32 states/eV/f.u.

***

Record 15
DFT (PBE) results for crystalline LiTm2Co at its relaxed geometry.

```
LiTm2Co
1.0
-1.256 -2.538 -2.318
1.278 -3.425 0.169
-6.958 -4.277 5.565
Li Tm Co
1 2 1
Direct
0.000 0.000 0.000
0.115 0.115 0.655
0.885 0.885 0.345
0.500 0.500 0.500
```

Output
calculated formation energy: 0.08 eV/atom
offset from the most stable computed form: 0.194 eV per atom
Fermi-level density of states: 2.51 states/eV/f.u.

***

Record 16
DFT (PBE) results for crystalline NaNd2Zn9 at its relaxed geometry.

```
NaNd2Zn9
1.0
5.564 0.000 0.000
2.782 4.818 0.000
2.782 1.606 8.683
Zn Na Nd
9 1 2
Direct
0.078 0.584 0.754
0.922 0.416 0.246
0.500 0.500 0.500
0.584 0.078 0.754
0.584 0.584 0.754
0.665 0.665 0.004
0.335 0.335 0.996
0.416 0.922 0.246
0.416 0.416 0.246
0.000 0.000 0.000
0.859 0.859 0.422
0.141 0.141 0.578
```

Output
calculated formation energy: -0.17 eV/atom
Fermi-level density of states: 6.86 states/eV/f.u.

***

Record 17
DFT (PBE) results for crystalline YMo2C at its relaxed geometry.

```
YMo2C
1.0
-2.606 2.384 5.110
4.036 -3.142 3.524
3.493 3.008 4.154
C Y Mo
2 2 4
Direct
0.250 0.750 0.500
0.500 0.500 0.000
0.750 0.250 0.500
0.000 0.000 0.000
0.375 0.625 0.750
0.375 0.125 0.250
0.875 0.625 0.750
0.375 0.625 0.250
```

Output
calculated formation energy: 0.63 eV/atom
Fermi-level density of states: 2.23 states/eV/f.u.

***

Record 18
DFT (PBE) results for crystalline ScCo3Ge3 at its relaxed geometry.

```
ScCo3Ge3
1.0
-2.313 1.185 3.068
-6.658 -2.043 -4.229
3.600 -5.485 4.832
Co Sc Ge
6 2 6
Direct
0.750 0.619 0.568
0.250 0.568 0.949
0.250 0.051 0.619
0.750 0.949 0.381
0.750 0.432 0.051
0.250 0.381 0.432
0.250 0.667 0.333
0.750 0.333 0.667
0.250 0.065 0.339
0.250 0.274 0.935
0.750 0.935 0.661
0.750 0.339 0.274
0.750 0.726 0.065
0.250 0.661 0.726
```

Output
calculated formation energy: -0.22 eV/atom
offset from the most stable computed form: 0.000 eV per atom
Fermi-level density of states: 4.95 states/eV/f.u.

***

Record 19
DFT (PBE) results for crystalline HgTeAs2 at its relaxed geometry.

```
HgTeAs2
1.0
0.000 3.575 3.575
3.575 0.000 3.575
3.575 3.575 0.000
Hg As Te
1 2 1
Direct
0.500 0.500 0.500
0.250 0.250 0.250
0.750 0.750 0.750
0.000 0.000 0.000
```

Output
offset from the most stable computed form: 0.359 eV per atom
Fermi-level density of states: 2.79 states/eV/f.u.

***

Record 20
DFT (PBE) results for crystalline YPb at its relaxed geometry.

```
YPb
1.0
2.797 -4.844 0.000
2.797 4.844 0.000
0.000 0.000 9.406
Y Pb
4 4
Direct
0.000 0.000 0.250
0.000 0.000 0.750
0.667 0.333 0.250
0.333 0.667 0.750
0.667 0.333 0.911
0.667 0.333 0.589
0.333 0.667 0.411
0.333 0.667 0.089
```

Output
calculated formation energy: 0.10 eV/atom
Fermi-level density of states: 2.41 states/eV/f.u.